[1]
## AlTc2Mo (GGA-PBE)

Data for crystalline AlTc2Mo at its relaxed geometry.

Cell lengths 8.9076, 8.9076, 8.9076 Å; angles 18.15, 18.15, 18.15 degrees
Sites, in units of the cell vectors:
Al  0.0000  0.0000  0.0000
Tc  0.2507  0.2507  0.2507
Tc  0.7493  0.7493  0.7493
Mo  0.5000  0.5000  0.5000

Summary:
Its mass density is 8.85 g cm⁻³. The formation energy is -0.13 eV per formula unit.



[2]
## AlTc3Mo (GGA-PBE)

Data for crystalline AlTc3Mo at its relaxed geometry.

Cell lengths 4.6575, 4.6575, 4.6575 Å; angles 90.00, 90.00, 90.00 degrees
Sites, in units of the cell vectors:
Al  0.0000  0.0000  0.0000
Tc  0.0000  0.5000  0.5000
Tc  0.5000  0.0000  0.5000
Tc  0.5000  0.5000  0.0000
Mo  0.5000  0.5000  0.5000

Summary:
Its mass density is 6.85 g cm⁻³. The formation energy is 8.01 eV per formula unit.



[3]
## AlTc3Mo (GGA-PBE)

Data for crystalline AlTc3Mo at its relaxed geometry.

Cell lengths 4.3726, 4.3726, 4.3726 Å; angles 90.00, 90.00, 90.00 degrees
Sites, in units of the cell vectors:
Al  0.0000  0.0000  0.0000
Tc  0.0000  0.0000  0.5000
Tc  0.0000  0.5000  0.0000
Tc  0.5000  0.0000  0.0000
Mo  0.5000  0.5000  0.5000

Summary:
Its mass density is 8.28 g cm⁻³. The formation energy is 6.53 eV per formula unit.



[4]
## AlTc2Mo (GGA-PBE)

Data for crystalline AlTc2Mo at its relaxed geometry.

Cell lengths 4.3760, 4.3760, 4.3760 Å; angles 60.00, 60.00, 60.00 degrees
Sites, in units of the cell vectors:
Al  0.0000  0.0000  0.0000
Tc  0.2500  0.2500  0.2500
Tc  0.5000  0.5000  0.5000
Mo  0.7500  0.7500  0.7500

Summary:
Its mass density is 8.94 g cm⁻³. The formation energy is -0.15 eV per formula unit.



[5]
## AlTcMo (GGA-PBE)

Data for crystalline AlTcMo at its relaxed geometry.

Cell lengths 4.3538, 4.3538, 2.7362 Å; angles 90.00, 90.00, 120.00 degrees
Sites, in units of the cell vectors:
Al  0.0000  0.0000  0.0000
Tc  0.6667  0.3333  0.6596
Mo  0.3333  0.6667  0.3977

Summary:
Its mass density is 8.17 g cm⁻³. The formation energy is -0.58 eV per formula unit.



[6]
## AlTcMo (GGA-PBE)

Data for crystalline AlTcMo at its relaxed geometry.

Cell lengths 5.1101, 5.1101, 5.1101 Å; angles 144.55, 144.55, 51.01 degrees
Sites, in units of the cell vectors:
Al  0.0000  0.0000  0.0000
Tc  0.6691  0.6691  0.0000
Mo  0.3216  0.3216  0.0000

Summary:
Its mass density is 8.21 g cm⁻³. The formation energy is -1.00 eV per formula unit.